Entry 1:
The following is a DFT calculation (meta-GGA SCAN) of a PBEsol-optimized structure of Mg2ZnIn.

Output
Mass density   4.7 g cm⁻³
Crystal system   orthorhombic
Calculated formation energy   -0.20 eV per formula unit

Unit cell a=3.2628 b=4.1571 c=6.0213 alpha=90.00 beta=90.00 gamma=90.00
Fractional positions:
1 Mg 0.5000 0.5000 0.2680
2 Mg 0.0000 0.0000 0.9968
3 Zn 0.0000 0.0000 0.4888
4 In 0.5000 0.5000 0.7465

Entry 2:
The following is a DFT calculation (meta-GGA SCAN) of a PBEsol-optimized structure of LiScCr2As.

Output
Mass density   4.4 g cm⁻³
Crystal system   tetragonal
Calculated formation energy   1.08 eV per formula unit

Unit cell a=4.3579 b=4.4954 c=4.4954 alpha=90.00 beta=90.00 gamma=90.00
Site moments in Bohr magnetons follow the coordinates.
Fractional positions:
1 Li 0.5000 0.0000 0.0000  -0.02
2 As 0.0000 0.0000 0.0000  -0.17
3 Cr 0.0000 0.5000 0.0000  2.70
4 Cr 0.0000 0.0000 0.5000  2.70
5 Sc 0.5000 0.5000 0.5000  -0.31

Entry 3:
The following is a DFT calculation (meta-GGA SCAN) of a PBEsol-optimized structure of CsMgP2Cl.

Output
Mass density   2.5 g cm⁻³
Crystal system   tetragonal
Electronic total energy   -13.1383 eV/atom

Unit cell a=5.3842 b=5.3842 c=5.8470 alpha=90.00 beta=90.00 gamma=90.00
Site moments in Bohr magnetons follow the coordinates.
Fractional positions:
1 Mg 0.5000 0.5000 0.5000  -0.06
2 Cs 0.0000 0.0000 0.0000  0.03
3 P 0.5000 0.0000 0.0000  0.30
4 P 0.0000 0.5000 0.0000  0.30
5 Cl 0.0000 0.0000 0.5000  0.01

Entry 4:
The following is a DFT calculation (meta-GGA SCAN) of a PBEsol-optimized structure of BaCaLu2F10.

Output
Mass density   6.6 g cm⁻³
Crystal system   tetragonal
Electronic total energy   -18.3247 eV/atom

Unit cell a=7.9394 b=8.0487 c=7.9394 alpha=60.45 beta=90.00 gamma=119.55
Fractional positions:
1 F 0.1615 0.6742 0.8385
2 F 0.1615 0.6742 0.4873
3 F 0.8760 0.2158 0.8921
4 F 0.4873 0.3258 0.5127
5 F 0.8315 0.0000 0.5000
6 F 0.3397 0.2158 0.8921
7 F 0.6603 0.7842 0.1079
8 F 0.5000 0.0000 0.1685
9 F 0.5127 0.6742 0.4873
10 F 0.8385 0.3258 0.1615
11 F 0.5127 0.6742 0.8385
12 F 0.1079 0.2158 0.6603
13 F 0.1079 0.2158 0.1240
14 F 0.8921 0.7842 0.8760
15 F 0.1685 0.0000 0.5000
16 F 0.1240 0.7842 0.1079
17 F 0.8385 0.3258 0.5127
18 F 0.8921 0.7842 0.3397
19 F 0.4873 0.3258 0.1615
20 F 0.5000 0.0000 0.8315
21 Ba 0.7500 0.5000 0.7500
22 Ba 0.2500 0.5000 0.2500
23 Lu 0.2378 0.0000 0.7622
24 Lu 0.2378 0.0000 0.2378
25 Lu 0.7622 0.0000 0.7622
26 Lu 0.7622 0.0000 0.2378
27 Ca 0.7572 0.5144 0.2428
28 Ca 0.2428 0.4856 0.7572

Entry 5:
The following is a DFT calculation (meta-GGA SCAN) of a PBEsol-optimized structure of SrSc2TlAs.

Output
Mass density   5.2 g cm⁻³
Crystal system   tetragonal
Calculated formation energy   -2.66 eV per formula unit

Unit cell a=5.0623 b=5.0623 c=5.6621 alpha=90.00 beta=90.00 gamma=90.00
Fractional positions:
1 Sr 0.0000 0.0000 0.5000
2 As 0.0000 0.0000 0.0000
3 Tl 0.5000 0.5000 0.5000
4 Sc 0.5000 0.0000 0.0000
5 Sc 0.0000 0.5000 0.0000

Entry 6:
The following is a DFT calculation (meta-GGA SCAN) of a PBEsol-optimized structure of Zn3CuBi.

Output
Mass density   8.1 g cm⁻³
Crystal system   cubic
Calculated formation energy   1.67 eV per formula unit

Unit cell a=4.5868 b=4.5868 c=4.5868 alpha=90.00 beta=90.00 gamma=90.00
Fractional positions:
1 Zn 0.0000 0.5000 0.0000
2 Zn 0.5000 0.0000 0.0000
3 Zn 0.0000 0.0000 0.5000
4 Bi 0.5000 0.5000 0.5000
5 Cu 0.0000 0.0000 0.0000

| no. | spin magnetization (μB/f.u.) |
| --- | --- |
| 1 | 0.00 |
| 2 | 4.96 |
| 3 | 1.11 |
| 4 | 0.11 |
| 5 | 0.00 |
| 6 | 0.00 |